A geometry-optimized LiYCu2 structure, computed with PBE.

Unit cell a=4.273 b=4.273 c=5.157 alpha=65.64 beta=65.64 gamma=60.06
Sites, in units of the cell vectors:
Li (0.750, 0.750, 0.750)
Cu (0.042, 0.042, 0.874)
Cu (0.458, 0.458, 0.626)
Y (0.250, 0.250, 0.250)

Computed properties:
VASP energy = -17.08 eV/cell
Calculated volume = 71.7 Å³/f.u.
Crystal system = monoclinic

***

A geometry-optimized Ga2Pd2Ru structure, computed with PBE.

Unit cell a=7.246 b=7.246 c=2.912 alpha=90.00 beta=90.00 gamma=90.00
Sites, in units of the cell vectors:
Ru (0.000, 0.000, 0.000)
Ru (0.500, 0.500, 0.000)
Ga (0.153, 0.347, 0.000)
Ga (0.847, 0.653, 0.000)
Ga (0.347, 0.847, 0.000)
Ga (0.653, 0.153, 0.000)
Pd (0.854, 0.354, 0.500)
Pd (0.646, 0.854, 0.500)
Pd (0.146, 0.646, 0.500)
Pd (0.354, 0.146, 0.500)

Computed properties:
VASP energy = -54.04 eV/cell
Excess energy over the best structure of this formula in the dataset = 0.00 kcal/mol of atoms
Calculated volume = 76.4 Å³/f.u.
Crystal system = tetragonal

***

A geometry-optimized CeNd2Te4 structure, computed with PBE.

Unit cell a=4.401 b=7.705 c=15.302 alpha=90.00 beta=90.00 gamma=106.59
Sites, in units of the cell vectors:
Nd (0.132, 0.265, 0.067)
Nd (0.132, 0.265, 0.433)
Nd (0.868, 0.735, 0.933)
Nd (0.868, 0.735, 0.567)
Te (0.777, 0.554, 0.375)
Te (0.500, 0.000, 0.500)
Te (0.036, 0.072, 0.250)
Te (0.223, 0.446, 0.875)
Te (0.964, 0.928, 0.750)
Te (0.500, 0.000, 0.000)
Te (0.777, 0.554, 0.125)
Te (0.223, 0.446, 0.625)
Ce (0.622, 0.244, 0.750)
Ce (0.378, 0.756, 0.250)

Computed properties:
Uncorrected formation energy = -1.40 eV per atom
VASP energy = -75.63 eV/cell
Excess energy over the best structure of this formula in the dataset = 0.00 kcal/mol of atoms
Calculated volume = 248.6 Å³/f.u.
Crystal system = orthorhombic

***

A geometry-optimized Tc2PIr2 structure, computed with PBE.

Unit cell a=7.582 b=7.582 c=2.724 alpha=90.00 beta=90.00 gamma=90.00
Sites, in units of the cell vectors:
Tc (0.328, 0.828, 0.000)
Tc (0.828, 0.672, 0.000)
Tc (0.172, 0.328, 0.000)
Tc (0.672, 0.172, 0.000)
Ir (0.123, 0.623, 0.500)
Ir (0.377, 0.123, 0.500)
Ir (0.623, 0.877, 0.500)
Ir (0.877, 0.377, 0.500)
P (0.000, 0.000, 0.000)
P (0.500, 0.500, 0.000)

Computed properties:
VASP energy = -84.97 eV/cell
Excess energy over the best structure of this formula in the dataset = 0.00 kcal/mol of atoms
Calculated volume = 78.3 Å³/f.u.
Crystal system = tetragonal

***

A geometry-optimized RbBa2Rh2 structure, computed with PBE.

Unit cell a=8.742 b=8.742 c=4.388 alpha=90.00 beta=90.00 gamma=90.00
Sites, in units of the cell vectors:
Ba (0.343, 0.157, 0.500)
Ba (0.157, 0.657, 0.500)
Ba (0.843, 0.343, 0.500)
Ba (0.657, 0.843, 0.500)
Rb (0.500, 0.500, 0.000)
Rb (0.000, 0.000, 0.000)
Rh (0.608, 0.108, 0.000)
Rh (0.108, 0.392, 0.000)
Rh (0.892, 0.608, 0.000)
Rh (0.392, 0.892, 0.000)

Computed properties:
VASP energy = -37.28 eV/cell
Excess energy over the best structure of this formula in the dataset = 0.00 kcal/mol of atoms
Calculated volume = 167.7 Å³/f.u.
Crystal system = tetragonal